No. 1
Er8Al2Ga: optimized geometry, GGA-PBE.

* electronic total energy: -4.50 eV/atom
* calculated formation energy: -0.226 eV per atom
* N(E_F): 10.8 states/eV per cell

The structure in extended XYZ format:
```
11
Lattice="5.015 0.000 0.000 0.000 6.669 0.282 -2.508 -2.508 8.727" Properties=species:S:1:pos:R:3 pbc="T T T"
Er 0.000 1.560 7.246
Er 2.508 5.669 3.000
Er 2.508 3.191 5.312
Er 2.508 -0.856 8.412
Er 0.000 0.970 3.697
Er 0.000 -1.508 6.009
Er 2.508 2.602 1.763
Er 0.000 5.017 0.597
Al 2.508 0.154 5.527
Al 0.000 4.008 3.482
Ga 2.508 0.000 0.000
```


No. 2
BaTcRh: optimized geometry, GGA-PBE.

* electronic total energy: -5.21 eV/atom
* calculated formation energy: 1.334 eV per atom
* N(E_F): 8.4 states/eV per cell

The structure in extended XYZ format:
```
6
Lattice="-3.736 3.507 -1.767 2.965 -2.821 -3.554 -6.257 -6.640 0.050" Properties=species:S:1:pos:R:3 pbc="T T T"
Rh 0.000 0.000 0.000
Rh -3.129 -3.320 0.025
Ba -0.833 -2.372 -2.946
Ba -6.195 -3.582 -2.325
Tc -1.564 -1.660 0.012
Tc -4.693 -4.980 0.037
```


Please write out number 2 again, unchanged.
BaTcRh: optimized geometry, GGA-PBE.

* electronic total energy: -5.21 eV/atom
* calculated formation energy: 1.334 eV per atom
* N(E_F): 8.4 states/eV per cell

The structure in extended XYZ format:
```
6
Lattice="-3.736 3.507 -1.767 2.965 -2.821 -3.554 -6.257 -6.640 0.050" Properties=species:S:1:pos:R:3 pbc="T T T"
Rh 0.000 0.000 0.000
Rh -3.129 -3.320 0.025
Ba -0.833 -2.372 -2.946
Ba -6.195 -3.582 -2.325
Tc -1.564 -1.660 0.012
Tc -4.693 -4.980 0.037
```


- The highest N(E_F) belongs to which entry?
  Er8Al2Ga


Copy entry 2 word for word.
BaTcRh: optimized geometry, GGA-PBE.

* electronic total energy: -5.21 eV/atom
* calculated formation energy: 1.334 eV per atom
* N(E_F): 8.4 states/eV per cell

The structure in extended XYZ format:
```
6
Lattice="-3.736 3.507 -1.767 2.965 -2.821 -3.554 -6.257 -6.640 0.050" Properties=species:S:1:pos:R:3 pbc="T T T"
Rh 0.000 0.000 0.000
Rh -3.129 -3.320 0.025
Ba -0.833 -2.372 -2.946
Ba -6.195 -3.582 -2.325
Tc -1.564 -1.660 0.012
Tc -4.693 -4.980 0.037
```